Material: MgSb2CI
Method: DFT, GGA-PBE
State: optimized geometry

a b c (Å): 5.4584 5.4584 5.5149
angles (deg): 90.00 90.00 90.00
Space group P4/mmm (No. 123)
Symmetry-distinct sites (fractional):
1 Mg 0.0000 0.0000 0.0000 [1 per cell]
2 Sb 0.0000 0.5000 0.0000 [2 per cell]
3 C 0.5000 0.5000 0.5000 [1 per cell]
4 I 0.0000 0.0000 0.5000 [1 per cell]

Computed properties:
Uncorrected energy ... -2.41 eV per atom
Polymorph energy (0 for the lowest one) ... 0.791 eV per atom
Fermi-level density of states ... 5.274 states/eV per cell
Total moment ... 0.25 μB/atom